Here is a relaxed YGeHIr crystal from Alexandria. Energies are from PBE-GGA.

Cell: 4.104 4.104 7.262 Å, 90.00 90.00 90.00°
Element x y z (fractional)
Y 0.250 0.250 0.159
Y 0.750 0.750 0.841
Ge 0.250 0.250 0.695
Ge 0.750 0.750 0.305
H 0.250 0.750 0.000
H 0.750 0.250 0.000
Ir 0.250 0.750 0.500
Ir 0.750 0.250 0.500

DFT total energy ... -0.48494 Ry/atom
Volume ... 122.3 Å³/cell